Entry 1:
VASP calculation (PBE) on an optimized crystal structure of Rb2GaCoBr6.

Cell and atoms, written as POSCAR:
```
Rb2GaCoBr6
1.0
-3.7641 3.7641 5.3132
3.7641 -3.7641 5.3132
3.7641 3.7641 -5.3132
Rb Ga Co Br
2 1 1 6
Cartesian
3.7641 0.0000 2.6566
0.0000 3.7641 2.6566
0.0000 0.0000 0.0000
0.0000 0.0000 5.3132
0.0000 0.0000 2.8464
2.0219 2.0219 0.0000
1.7422 -1.7422 5.3132
-1.7422 1.7422 5.3132
1.7422 1.7422 5.3132
0.0000 0.0000 7.7800
```

**Raw formation energy**: -21.71 kcal/mol of atoms
**Crystal system**: tetragonal

Entry 2:
VASP calculation (PBE) on an optimized crystal structure of LaCr3Co.

Cell and atoms, written as POSCAR:
```
LaCr3Co
1.0
4.5690 0.0000 0.0000
0.0000 4.5690 0.0000
0.0000 0.0000 4.5690
La Cr Co
1 3 1
Cartesian
0.0000 0.0000 0.0000
0.0000 2.2845 2.2845
2.2845 0.0000 2.2845
2.2845 2.2845 0.0000
2.2845 2.2845 2.2845
```

**Formation enthalpy at 0 K**: 0.76 eV per atom
**Crystal system**: cubic
**Distance to the lowest polymorph of the same formula**: 0 kJ/mol of formula units

Number 1: N(E_F) 0.00 states/eV/atom, energy -0.2317 Ry per atom. Number 2: N(E_F) 2.03 states/eV/atom, energy -0.5451 Ry per atom.